(1)
DFT (PBE) results for an optimized crystal structure of SrMgPbBr6.

As for the formation energy without anion corrections: -1.47 eV per atom. The density of states at the Fermi level comes out at 0.000 states/eV/atom. As for the space group: P-31c (163). The calculation puts the magnetic moment at 0.000 μB per atom.

The structure in CIF format:
```
data_SrMgPbBr6
_space_group_name_H-M_alt 'P 1'
_space_group_IT_number 1
_cell_length_a 7.413
_cell_length_b 7.413
_cell_length_c 12.955
_cell_angle_alpha 90.00
_cell_angle_beta 90.00
_cell_angle_gamma 120.00
loop_
_space_group_symop_operation_xyz
'x,y,z'
loop_
_atom_site_label
_atom_site_type_symbol
_atom_site_fract_x
_atom_site_fract_y
_atom_site_fract_z
_atom_site_occupancy
Sr1 Sr 0.333 0.667 0.250 1
Sr2 Sr 0.667 0.333 0.750 1
Mg1 Mg 0.333 0.667 0.750 1
Mg2 Mg 0.667 0.333 0.250 1
Pb1 Pb 0.000 0.000 0.000 1
Pb2 Pb 0.000 0.000 0.500 1
Br1 Br 0.036 0.367 0.628 1
Br2 Br 0.036 0.668 0.872 1
Br3 Br 0.332 0.367 0.872 1
Br4 Br 0.332 0.964 0.628 1
Br5 Br 0.367 0.036 0.128 1
Br6 Br 0.367 0.332 0.372 1
Br7 Br 0.633 0.668 0.628 1
Br8 Br 0.633 0.964 0.872 1
Br9 Br 0.668 0.036 0.372 1
Br10 Br 0.668 0.633 0.128 1
Br11 Br 0.964 0.332 0.128 1
Br12 Br 0.964 0.633 0.372 1
```

(2)
DFT (PBE) results for an optimized crystal structure of LiV2Rh4.

The density of states at the Fermi level comes out at 0.814 states/eV/atom. As for the space group: Cmce (64). Its energy relative to the elements is 0.002 eV per atom. The calculation puts the magnetic moment at 0.000 μB per atom.

The structure in CIF format:
```
data_LiV2Rh4
_space_group_name_H-M_alt 'P 1'
_space_group_IT_number 1
_cell_length_a 5.964
_cell_length_b 5.964
_cell_length_c 7.105
_cell_angle_alpha 90.00
_cell_angle_beta 90.00
_cell_angle_gamma 55.37
loop_
_space_group_symop_operation_xyz
'x,y,z'
loop_
_atom_site_label
_atom_site_type_symbol
_atom_site_fract_x
_atom_site_fract_y
_atom_site_fract_z
_atom_site_occupancy
Li1 Li 0.000 0.000 0.000 1
Li2 Li 0.500 0.500 0.500 1
V1 V 0.139 0.139 0.500 1
V2 V 0.361 0.361 0.000 1
V3 V 0.639 0.639 0.000 1
V4 V 0.861 0.861 0.500 1
Rh1 Rh 0.017 0.483 0.750 1
Rh2 Rh 0.213 0.787 0.728 1
Rh3 Rh 0.287 0.713 0.228 1
Rh4 Rh 0.483 0.017 0.250 1
Rh5 Rh 0.517 0.983 0.750 1
Rh6 Rh 0.713 0.287 0.772 1
Rh7 Rh 0.787 0.213 0.272 1
Rh8 Rh 0.983 0.517 0.250 1
```

(3)
DFT (PBE) results for an optimized crystal structure of HfCuPd5.

The energy above the most stable polymorph in this dataset comes out at 0.154 eV/atom. The density of states at the Fermi level comes out at 0.405 states/eV/atom. As for the space group: Imma (74). Its energy relative to the elements is -0.271 eV per atom. The calculation puts the magnetic moment at 0.000 μB per atom.

The structure in CIF format:
```
data_HfCuPd5
_space_group_name_H-M_alt 'P 1'
_space_group_IT_number 1
_cell_length_a 7.283
_cell_length_b 7.283
_cell_length_c 7.283
_cell_angle_alpha 118.93
_cell_angle_beta 80.25
_cell_angle_gamma 133.29
loop_
_space_group_symop_operation_xyz
'x,y,z'
loop_
_atom_site_label
_atom_site_type_symbol
_atom_site_fract_x
_atom_site_fract_y
_atom_site_fract_z
_atom_site_occupancy
Hf1 Hf 0.470 0.220 0.250 1
Hf2 Hf 0.530 0.780 0.750 1
Cu1 Cu 0.000 0.000 0.000 1
Cu2 Cu 0.500 0.000 0.500 1
Pd1 Pd 0.038 0.788 0.250 1
Pd2 Pd 0.122 0.293 0.411 1
Pd3 Pd 0.122 0.711 0.830 1
Pd4 Pd 0.382 0.293 0.670 1
Pd5 Pd 0.382 0.711 0.089 1
Pd6 Pd 0.618 0.289 0.911 1
Pd7 Pd 0.618 0.707 0.330 1
Pd8 Pd 0.878 0.289 0.170 1
Pd9 Pd 0.878 0.707 0.589 1
Pd10 Pd 0.962 0.212 0.750 1
```

(4)
DFT (PBE) results for an optimized crystal structure of Y7In2Bi2.

The density of states at the Fermi level comes out at 1.181 states/eV/atom. As for the space group: Cmmm (65). Its energy relative to the elements is -0.186 eV per atom. The calculation puts the magnetic moment at 0.225 μB per atom.

The structure in CIF format:
```
data_Y7In2Bi2
_space_group_name_H-M_alt 'P 1'
_space_group_IT_number 1
_cell_length_a 7.265
_cell_length_b 7.265
_cell_length_c 7.171
_cell_angle_alpha 90.00
_cell_angle_beta 90.00
_cell_angle_gamma 98.89
loop_
_space_group_symop_operation_xyz
'x,y,z'
loop_
_atom_site_label
_atom_site_type_symbol
_atom_site_fract_x
_atom_site_fract_y
_atom_site_fract_z
_atom_site_occupancy
Y1 Y 0.000 0.000 0.000 1
Y2 Y 0.000 0.500 0.263 1
Y3 Y 0.000 0.500 0.737 1
Y4 Y 0.500 0.000 0.263 1
Y5 Y 0.500 0.000 0.737 1
Y6 Y 0.500 0.500 0.256 1
Y7 Y 0.500 0.500 0.744 1
In1 In 0.276 0.724 0.000 1
In2 In 0.724 0.276 0.000 1
Bi1 Bi 0.200 0.200 0.500 1
Bi2 Bi 0.800 0.800 0.500 1
```

Question: What is the magnetic moment in the first record?
Answer: 0.000 μB per atom

Question: Which value of magnetic moment does entry 3 give?
Answer: 0.000 μB per atom